*1*
DFT (PBE with a Hubbard U) results for ZrMoP2O after structural relaxation.

The structure in POSCAR format:
```
ZrMoP2O
1.0
5.1590 0.0000 0.0000
0.0000 5.1590 0.0000
0.0000 0.0000 3.9743
P Mo O Zr
2 1 1 1
Direct
0.0000 0.5000 0.0000 P
0.5000 0.0000 0.0000 P
0.5000 0.5000 0.5000 Mo
0.0000 0.0000 0.5000 O
0.0000 0.0000 0.0000 Zr
```

Results
Size of the total moment (μB/f.u.): 2.6
DOS at the Fermi energy (states/eV/cell): 2.66



*2*
DFT (PBE with a Hubbard U) results for ZrMoP2O after structural relaxation.

The structure in POSCAR format:
```
ZrMoP2O
1.0
-2.3161 -3.4249 -2.6097
-0.4148 -2.7720 4.0061
-3.2702 1.6169 0.7802
P Mo O Zr
2 1 1 1
Direct
0.0000 0.5000 0.0000 P
0.5000 0.0000 0.0000 P
0.0000 0.0000 0.0000 Mo
0.0000 0.0000 0.5000 O
0.5000 0.5000 0.5000 Zr
```

Results
Size of the total moment (μB/f.u.): 0.9
DOS at the Fermi energy (states/eV/cell): 1.54



*2* is the most stable structure; the next one sits 7.4 kJ/mol of atoms above it.



*1*
DFT (PBE with a Hubbard U) results for ZrMoPO2 after structural relaxation.

The structure in POSCAR format:
```
ZrMoPO2
1.0
4.0387 0.0000 0.0000
0.0000 4.0387 0.0000
0.0000 0.0000 5.5058
P Mo O Zr
1 1 2 1
Direct
0.0000 0.0000 0.5000 P
0.5000 0.5000 0.5000 Mo
0.0000 0.5000 0.0000 O
0.5000 0.0000 0.0000 O
0.0000 0.0000 0.0000 Zr
```

Results
Size of the total moment (μB/f.u.): 3.0
DOS at the Fermi energy (states/eV/cell): 2.48



*2*
DFT (PBE with a Hubbard U) results for ZrMoPO2 after structural relaxation.

The structure in POSCAR format:
```
ZrMoPO2
1.0
-1.8529 -2.5797 -2.2691
0.8501 -2.8421 2.5370
-4.4304 0.9451 2.5434
P Mo O Zr
1 1 2 1
Direct
0.0000 0.0000 0.5000 P
0.0000 0.0000 0.0000 Mo
0.0000 0.5000 0.0000 O
0.5000 0.0000 0.0000 O
0.5000 0.5000 0.5000 Zr
```

Results
Size of the total moment (μB/f.u.): 1.8
DOS at the Fermi energy (states/eV/cell): 2.40



*1* is the most stable structure; the next one sits 22.3 kJ/mol of atoms above it.



*1*
DFT (PBE with a Hubbard U) results for Mo3PbO after structural relaxation.

The structure in POSCAR format:
```
Mo3PbO
1.0
-3.3549 1.9859 -1.8478
0.9024 -1.9544 -3.7389
-2.5581 -3.2940 1.1044
Pb Mo O
1 3 1
Direct
0.5000 0.5000 0.5000 Pb
0.0000 0.5000 0.0000 Mo
0.0000 0.0000 0.5000 Mo
0.5000 0.0000 0.0000 Mo
0.0000 0.0000 0.0000 O
```

Results
Size of the total moment (μB/f.u.): 3.1
DOS at the Fermi energy (states/eV/cell): 3.47



*2*
DFT (PBE with a Hubbard U) results for Mo3PbO after structural relaxation.

The structure in POSCAR format:
```
Mo3PbO
1.0
5.5750 0.0000 0.0000
0.0000 5.5750 0.0000
0.0000 0.0000 5.5750
Pb Mo O
1 3 1
Direct
0.0000 0.0000 0.0000 Pb
0.0000 0.5000 0.0000 Mo
0.0000 0.0000 0.5000 Mo
0.5000 0.0000 0.0000 Mo
0.5000 0.5000 0.5000 O
```

Results
Size of the total moment (μB/f.u.): 13.4
DOS at the Fermi energy (states/eV/cell): 8.44



*1* is the most stable structure; the next one sits 137.5 kJ/mol of atoms above it.



*1*
DFT (PBE with a Hubbard U) results for Mo2PbO after structural relaxation.

The structure in POSCAR format:
```
Mo2PbO
1.0
5.8778 0.0000 0.0000
0.0000 5.8778 0.0000
2.9389 2.9389 5.8441
Pb Mo O
2 4 2
Direct
0.0000 0.0000 0.0000 Pb
0.7500 0.2500 0.5000 Pb
0.4578 0.1250 0.2500 Mo
0.2922 0.6250 0.2500 Mo
0.3750 0.5422 0.7500 Mo
0.8750 0.7078 0.7500 Mo
0.5000 0.5000 0.0000 O
0.2500 0.7500 0.5000 O
```

Results
Size of the total moment (μB/f.u.): 7.5
DOS at the Fermi energy (states/eV/cell): 2.92



*2*
DFT (PBE with a Hubbard U) results for Mo2PbO after structural relaxation.

The structure in POSCAR format:
```
Mo2PbO
1.0
-0.6805 -2.0051 4.0060
-4.0889 -1.6518 1.0412
-0.6473 -4.4798 0.2104
Pb Mo O
1 2 1
Direct
0.5000 0.5000 0.5000 Pb
0.2500 0.2500 0.2500 Mo
0.7500 0.7500 0.7500 Mo
0.0000 0.0000 0.0000 O
```

Results
Size of the total moment (μB/f.u.): 0.0
DOS at the Fermi energy (states/eV/cell): 4.72



*1* is the most stable structure; the next one sits 119.2 kJ/mol of atoms above it.



*1*
DFT (PBE with a Hubbard U) results for MoPb2O6 after structural relaxation.

The structure in POSCAR format:
```
MoPb2O6
1.0
5.0739 0.0000 0.0000
0.0000 5.0739 0.0000
0.0000 0.0000 10.2262
Mo Pb O
2 4 12
Direct
0.0000 0.0000 0.0000 Mo
0.5000 0.5000 0.5000 Mo
0.0000 0.0000 0.3349 Pb
0.5000 0.5000 0.8349 Pb
0.5000 0.5000 0.1651 Pb
0.0000 0.0000 0.6651 Pb
0.3200 0.3200 0.3561 O
0.6800 0.6800 0.3561 O
0.1800 0.8200 0.8561 O
0.8200 0.1800 0.8561 O
0.1800 0.8200 0.1439 O
0.8200 0.1800 0.1439 O
0.3200 0.3200 0.6439 O
0.6800 0.6800 0.6439 O
0.2781 0.2781 0.0000 O
0.7219 0.7219 0.0000 O
0.2219 0.7781 0.5000 O
0.7781 0.2219 0.5000 O
```

Results
Size of the total moment (μB/f.u.): 0.2
DOS at the Fermi energy (states/eV/cell): 5.35



*2*
DFT (PBE with a Hubbard U) results for MoPb2O6 after structural relaxation.

The structure in POSCAR format:
```
MoPb2O6
1.0
-1.7976 1.3799 5.2255
-6.1693 -0.5971 -1.9654
2.9580 -3.0574 4.9233
Mo Pb O
1 2 6
Direct
0.9995 0.9994 0.0012 Mo
0.1972 0.1976 0.6056 Pb
0.7027 0.7027 0.5944 Pb
0.8471 0.0435 0.7857 O
0.7025 0.2636 0.4209 O
0.8767 0.7018 0.8589 O
0.2642 0.8763 0.0336 O
0.3670 0.8474 0.5899 O
0.0431 0.3676 0.1099 O
```

Results
Size of the total moment (μB/f.u.): 0.0



*2* is the most stable structure; the next one sits 4.7 kJ/mol of atoms above it.



*1*
DFT (PBE with a Hubbard U) results for MoPb2O5 after structural relaxation.

The structure in POSCAR format:
```
MoPb2O5
1.0
7.7834 -0.0007 -0.0223
5.5211 5.4861 -0.0223
2.6045 1.0738 6.9615
Mo Pb O
2 4 10
Direct
0.1723 0.1723 0.3444 Mo
0.8277 0.8277 0.6556 Mo
0.4903 0.4903 0.2489 Pb
0.5097 0.5097 0.7511 Pb
0.8650 0.8650 0.1057 Pb
0.1350 0.1350 0.8943 Pb
0.2534 0.7466 0.0000 O
0.7466 0.2534 0.0000 O
0.3036 0.3036 0.3041 O
0.6964 0.6964 0.6959 O
0.0956 0.6129 0.7724 O
0.3871 0.9044 0.2276 O
0.0971 0.0971 0.5998 O
0.9029 0.9029 0.4002 O
0.6129 0.0956 0.7724 O
0.9044 0.3871 0.2276 O
```

Results
Size of the total moment (μB/f.u.): 0.0
DOS at the Fermi energy (states/eV/cell): 0.00



*2*
DFT (PBE with a Hubbard U) results for MoPb2O5 after structural relaxation.

The structure in POSCAR format:
```
MoPb2O5
1.0
-4.9319 2.2424 1.9957
-5.4999 -0.2624 -4.9453
-5.0165 -5.1590 1.7511
Mo Pb O
2 4 10
Direct
0.9271 0.8195 0.2761 Mo
0.9773 0.3195 0.7761 Mo
0.6159 0.4936 0.2980 Pb
0.2678 0.0683 0.3414 Pb
0.5925 0.9936 0.7980 Pb
0.3225 0.5683 0.8414 Pb
0.7167 0.2982 0.6893 O
0.0138 0.5842 0.1813 O
0.1930 0.2623 0.9448 O
0.2958 0.7982 0.1893 O
0.2206 0.0842 0.6813 O
0.5999 0.7623 0.4448 O
0.6856 0.4721 0.9580 O
0.8843 0.9721 0.4580 O
0.8130 0.0202 0.0772 O
0.0896 0.5202 0.5772 O
```

Results
Size of the total moment (μB/f.u.): 0.0
DOS at the Fermi energy (states/eV/cell): 0.00



*1* is the most stable structure; the next one sits 4.8 kJ/mol of atoms above it.